1.
The following is a DFT calculation (PBE-GGA) of KRb15Na4 after structural relaxation.

Computed properties:
symmetry: P4/mmm
energy relative to the elements: 29 meV per atom
electronic total energy: -20.31 eV per cell

Unit cell a=6.868 b=6.868 c=32.801 alpha=90.00 beta=90.00 gamma=90.00
Atoms (fractional coordinates):
K1 0.000 0.000 0.000
Rb1 0.000 0.500 0.110
Rb2 0.000 0.500 0.305
Rb3 0.000 0.500 0.500
Rb4 0.000 0.500 0.695
Rb5 0.000 0.500 0.890
Rb6 0.500 0.000 0.110
Rb7 0.500 0.000 0.305
Rb8 0.500 0.000 0.500
Rb9 0.500 0.000 0.695
Rb10 0.500 0.000 0.890
Rb11 0.500 0.500 0.000
Rb12 0.500 0.500 0.207
Rb13 0.500 0.500 0.402
Rb14 0.500 0.500 0.598
Rb15 0.500 0.500 0.793
Na1 0.000 0.000 0.207
Na2 0.000 0.000 0.403
Na3 0.000 0.000 0.597
Na4 0.000 0.000 0.793

2.
The following is a DFT calculation (PBE-GGA) of K5Rb12Na2 after structural relaxation.

Computed properties:
symmetry: C2/m
distance to the lowest polymorph of the same formula: 6 meV/atom
energy relative to the elements: 30 meV per atom
electronic total energy: -19.16 eV per cell

Unit cell a=13.288 b=13.288 c=13.172 alpha=102.09 beta=102.09 gamma=42.78
Atoms (fractional coordinates):
K1 0.000 0.000 0.000
K2 0.217 0.217 0.723
K3 0.332 0.332 0.298
K4 0.668 0.668 0.702
K5 0.783 0.783 0.277
Rb1 0.040 0.040 0.691
Rb2 0.086 0.594 0.974
Rb3 0.086 0.614 0.604
Rb4 0.386 0.914 0.396
Rb5 0.406 0.914 0.026
Rb6 0.497 0.497 0.815
Rb7 0.503 0.503 0.185
Rb8 0.594 0.086 0.974
Rb9 0.614 0.086 0.604
Rb10 0.914 0.386 0.396
Rb11 0.914 0.406 0.026
Rb12 0.960 0.960 0.309
Na1 0.332 0.668 0.500
Na2 0.668 0.332 0.500

3.
The following is a DFT calculation (PBE-GGA) of KRb6Na after structural relaxation.

Computed properties:
symmetry: P-1
distance to the lowest polymorph of the same formula: 12 meV/atom
energy relative to the elements: 31 meV per atom
electronic total energy: -7.97 eV per cell

Unit cell a=8.647 b=8.659 c=8.660 alpha=90.22 beta=91.12 gamma=91.12
Atoms (fractional coordinates):
K1 0.000 0.000 0.000
Rb1 0.001 0.499 0.255
Rb2 0.255 0.001 0.501
Rb3 0.498 0.745 0.002
Rb4 0.502 0.255 0.998
Rb5 0.745 0.999 0.499
Rb6 0.999 0.501 0.745
Na1 0.500 0.500 0.500